VASP calculation (PBE) on a relaxed TmLuInRu crystal.

a = 4.975 Å, b = 4.975 Å, c = 4.975 Å
α = 60.00°, β = 60.00°, γ = 60.00°
Positions (direct):
Tm1 0.000 0.000 0.000
Lu1 0.500 0.500 0.500
In1 0.750 0.750 0.750
Ru1 0.250 0.250 0.250

Properties
The density comes out at 10675 kg/m³. The symmetry is F-43m. The calculation puts the total DFT energy (no corrections) at -22.5 eV for the cell shown. For the formation energy, the calculation gives -0.3773 eV/atom. The calculation puts the magnetization at 0.00 μB per formula unit.